Compound: SnIrC
Source: Alexandria via LeMat-Bulk
Functional: PBE
Structure: relaxed

Lattice parameters (Å, degrees): 3.2653 3.2653 6.0895 89.61 89.82 60.00
Positions (direct):
Sn1 0.0000 0.0000 0.0000
Ir1 0.3312 0.3429 0.6025
C1 0.9978 0.0107 0.5195

Results
Relative energy among the computed polymorphs: 79 meV/atom
Crystal system: triclinic
Symmetry: P1 (1)
Fermi-level density of states: 0.47 states/eV/f.u.
Formation enthalpy at 0 K: 0.55 eV per atom